(1)
Computed, not measured: CsAsPd2 after structural relaxation at the GGA-PBE level of DFT.

Cell and atoms, written as CIF:
```
data_CsAsPd2
_cell_length_a 5.622
_cell_length_b 5.622
_cell_length_c 15.695
_cell_angle_alpha 90.00
_cell_angle_beta 90.00
_cell_angle_gamma 90.00
_space_group_name_H-M_alt 'I 41/a m d'
_space_group_IT_number 141
loop_
_space_group_symop_operation_xyz
'x,y,z'
'-x,-y,-z'
'-y+1/4,x+3/4,z+1/4'
'y+1/4,-x+3/4,-z+1/4'
'-x+1/2,-y,z+1/2'
'x+1/2,y,-z+1/2'
'y+1/4,-x+1/4,z+3/4'
'-y+1/4,x+1/4,-z+3/4'
'x,-y,-z'
'-x,y,z'
'-y+1/4,-x+1/4,-z+3/4'
'y+1/4,x+1/4,z+3/4'
'-x+1/2,y,-z+1/2'
'x+1/2,-y,z+1/2'
'y+1/4,x+3/4,-z+1/4'
'-y+1/4,-x+3/4,z+1/4'
'x+1/2,y+1/2,z+1/2'
'-x+1/2,-y+1/2,-z+1/2'
'-y+3/4,x+1/4,z+3/4'
'y+3/4,-x+1/4,-z+3/4'
'-x,-y+1/2,z'
'x,y+1/2,-z'
'y+3/4,-x+3/4,z+1/4'
'-y+3/4,x+3/4,-z+1/4'
'x+1/2,-y+1/2,-z+1/2'
'-x+1/2,y+1/2,z+1/2'
'-y+3/4,-x+3/4,-z+1/4'
'y+3/4,x+3/4,z+1/4'
'-x,y+1/2,-z'
'x,-y+1/2,z'
'y+3/4,x+1/4,-z+3/4'
'-y+3/4,-x+1/4,z+3/4'
loop_
_atom_site_label
_atom_site_type_symbol
_atom_site_fract_x
_atom_site_fract_y
_atom_site_fract_z
_atom_site_occupancy
Cs1 Cs 0.000 0.250 0.375 1
As1 As 0.000 0.250 0.875 1
Pd1 Pd 0.000 0.000 0.000 1
```

Calculated values
* theoretical density: 5.6 g/cm³
* ΔH_f (0 K): -0.255 eV per atom

=====

(2)
Computed, not measured: Ga3PS after structural relaxation at the GGA-PBE level of DFT.

Cell and atoms, written as CIF:
```
data_Ga3PS
_cell_length_a 4.853
_cell_length_b 4.853
_cell_length_c 4.853
_cell_angle_alpha 90.00
_cell_angle_beta 90.00
_cell_angle_gamma 90.00
_space_group_name_H-M_alt 'P m -3 m'
_space_group_IT_number 221
_space_group_name_Hall '-P 4 2 3'
loop_
_atom_site_label
_atom_site_type_symbol
_atom_site_fract_x
_atom_site_fract_y
_atom_site_fract_z
_atom_site_occupancy
Ga1 Ga 0.000 0.000 0.500 1
P1 P 0.000 0.000 0.000 1
S1 S 0.500 0.500 0.500 1
```

Calculated values
* excess energy over the best structure of this formula in the dataset: 0 meV per atom
* raw formation energy: 0.264 eV per atom
* theoretical density: 4.0 g/cm³

=====

(3)
Computed, not measured: LaPrMgPd after structural relaxation at the GGA-PBE level of DFT.

Cell and atoms, written as CIF:
```
data_LaPrMgPd
_cell_length_a 7.590
_cell_length_b 7.590
_cell_length_c 7.590
_cell_angle_alpha 90.00
_cell_angle_beta 90.00
_cell_angle_gamma 90.00
_space_group_name_H-M_alt 'F -4 3 m'
_space_group_IT_number 216
_space_group_name_Hall 'F -4 2 3'
loop_
_atom_site_label
_atom_site_type_symbol
_atom_site_fract_x
_atom_site_fract_y
_atom_site_fract_z
_atom_site_occupancy
La1 La 0.000 0.000 0.000 1
Pr1 Pr 0.000 0.000 0.500 1
Mg1 Mg 0.250 0.250 0.250 1
Pd1 Pd 0.250 0.250 0.750 1
```

Calculated values
* theoretical density: 6.2 g/cm³
* ΔH_f (0 K): -0.315 eV per atom